Si2PPb | PBE-GGA | optimized geometry

abc: 4.698 4.698 3.634
angles: 90.00 90.00 97.55
Sites, in units of the cell vectors:
P  0.500  0.000  0.500
Pb  0.000  0.500  0.500
Si  0.000  0.000  0.000
Si  0.500  0.500  0.000

The value obtained for the raw total energy is -4.27 eV/atom. The value obtained for the relative energy among the computed polymorphs is 479 meV/atom. As for the calculated volume: 19.88 Å³/atom. As for the density of states at the Fermi level: 0.222 states/eV/atom.